## w
A relaxed structure of Pm2Dy8Al, computed with PBE.

abc: 19.2461 5.4814 6.4658
angles: 90.00 93.97 90.00
Closest atoms and distances in Å follow each position.
Space group C2/m (No. 12)
Asymmetric unit:
1 Pm 0.2420 0.0000 0.3329 x4  8 Dy 3.43-3.65, 2 Pm 3.49
2 Dy 0.0416 0.0000 0.2539 x4  2 Al 3.27, 3 Dy 3.55-3.59
3 Dy 0.0773 0.5000 0.6043 x4  1 Al 3.05, 3 Dy 3.18-3.35
4 Dy 0.1534 0.0000 0.8146 x4  7 Dy 3.35-3.75, 4 Pm 3.57-3.65
5 Dy 0.1566 0.5000 0.1221 x4  1 Al 3.06, 2 Dy 3.38
6 Al 0.0000 0.5000 0.0000 x2  8 Dy 3.05-3.27

## x
A relaxed structure of Pm2Dy8Al, computed with PBE.

abc: 5.4211 7.4800 17.1785
angles: 90.00 90.00 90.00
Closest atoms and distances in Å follow each position.
Space group Immm (No. 71)
Asymmetric unit:
1 Pm 0.0000 0.0000 0.1929 x4  10 Dy 3.40-3.75
2 Dy 0.0000 0.2553 0.0000 x4  2 Al 3.27, 7 Dy 3.55-3.66
3 Dy 0.0000 0.2635 0.3672 x8  1 Al 3.01
4 Dy 0.0000 0.5000 0.1806 x4  8 Dy 3.45-3.66, 4 Pm 3.47-3.75
5 Al 0.0000 0.0000 0.5000 x2  8 Dy 3.01-3.27

Most stable: w